The following is a DFT calculation (PBE) of a relaxed structure of ReTeCl2.

The structure belongs to space group Cmmm (No. 65); the cell edges are 5.3127, 13.2429 and 3.1386 Å and the angles 90.00°, 90.00° and 90.00°. The asymmetric unit holds Re at (0.0000, 0.0000, 0.0000), Te at (0.0000, 0.5000, 0.0000) and Cl at (0.0000, 0.1393, 0.5000).

The value obtained for the calculated volume is 220.8 Å³ per cell. The value obtained for the density is 5.79 Mg/m³. For the offset from the most stable computed form, the calculation gives 0 meV/atom. For the spin magnetization, the calculation gives 0.280 Bohr magnetons per cell. As for the formation energy from raw total energies: -0.079 eV/atom.


The following is a DFT calculation (PBE) of a relaxed structure of Ba3Li2Mg4.

The structure belongs to space group C2/m (No. 12); the cell edges are 12.8024, 5.2813 and 10.3075 Å and the angles 90.00°, 107.07° and 90.00°. The asymmetric unit holds Ba at (0.0000, 0.0000, 0.0000), Ba at (0.1134, 0.5000, 0.3726), Li at (0.1992, 0.5000, 0.7719), Mg at (0.0965, 0.0000, 0.6418) and Mg at (0.2296, 0.5000, 0.0730).

The value obtained for the calculated volume is 666.2 Å³ per cell. The value obtained for the formation energy is -0.002 eV/atom. The value obtained for the density is 2.61 Mg/m³. For the spin magnetization, the calculation gives 0.000 Bohr magnetons per cell.


The following is a DFT calculation (PBE) of a relaxed structure of MgTl4Pb2.

The structure belongs to space group Cmmm (No. 65); the cell edges are 5.0045, 19.5436 and 4.9262 Å and the angles 90.00°, 90.00° and 90.00°. The asymmetric unit holds Mg at (0.0000, 0.0000, 0.0000), Tl at (0.0000, 0.0937, 0.5000), Tl at (0.0000, 0.4061, 0.0000) and Pb at (0.0000, 0.2990, 0.5000).

The value obtained for the calculated volume is 481.8 Å³ per cell. The value obtained for the formation energy is 0.155 eV/atom. The value obtained for the density is 8.66 Mg/m³. For the offset from the most stable computed form, the calculation gives 0 meV/atom. For the spin magnetization, the calculation gives 0.000 Bohr magnetons per cell.